# 1
Compound: YIn2FeHg
Source: Alexandria via LeMat-Bulk
Functional: PBE
Structure: optimized geometry

```
data_YIn2FeHg
_cell_length_a 6.023
_cell_length_b 6.023
_cell_length_c 4.875
_cell_angle_alpha 90.00
_cell_angle_beta 90.00
_cell_angle_gamma 90.00
_space_group_name_H-M_alt 'P 4/m m m'
_space_group_IT_number 123
_space_group_name_Hall '-P 4 2'
loop_
_atom_site_label
_atom_site_type_symbol
_atom_site_fract_x
_atom_site_fract_y
_atom_site_fract_z
Y1 Y 0.000 0.000 0.000
In1 In 0.000 0.500 0.000
Fe1 Fe 0.000 0.000 0.500
Hg1 Hg 0.500 0.500 0.500
```

Computed properties:
Energy (eV per atom): -3.205
Energy of formation (eV/atom): 0.937
DOS(E_F) (states/eV/f.u.): 5.83



# 2
Compound: Ac2Tb3Te8
Source: Alexandria via LeMat-Bulk
Functional: PBE
Structure: optimized geometry

```
data_Ac2Tb3Te8
_cell_length_a 15.985
_cell_length_b 8.983
_cell_length_c 7.727
_cell_angle_alpha 90.00
_cell_angle_beta 108.65
_cell_angle_gamma 90.00
_space_group_name_H-M_alt 'C 1 2/m 1'
_space_group_IT_number 12
loop_
_space_group_symop_operation_xyz
'x,y,z'
'-x,-y,-z'
'-x,y,-z'
'x,-y,z'
'x+1/2,y+1/2,z'
'-x+1/2,-y+1/2,-z'
'-x+1/2,y+1/2,-z'
'x+1/2,-y+1/2,z'
loop_
_atom_site_label
_atom_site_type_symbol
_atom_site_fract_x
_atom_site_fract_y
_atom_site_fract_z
Ac1 Ac 0.244 0.000 0.169
Tb1 Tb 0.000 0.242 0.500
Tb2 Tb 0.000 0.500 0.000
Te1 Te 0.113 0.500 0.409
Te2 Te 0.114 0.257 0.907
Te3 Te 0.121 0.000 0.438
```

Computed properties:
Energy (eV per atom): -4.979
DOS(E_F) (states/eV/f.u.): 7.51



# 3
Compound: Pu4TcGe3
Source: Alexandria via LeMat-Bulk
Functional: PBE
Structure: optimized geometry

```
data_Pu4TcGe3
_cell_length_a 11.219
_cell_length_b 11.219
_cell_length_c 5.335
_cell_angle_alpha 90.00
_cell_angle_beta 90.00
_cell_angle_gamma 90.00
_space_group_name_H-M_alt 'I 4/m c m'
_space_group_IT_number 140
_space_group_name_Hall '-I 4 2c'
loop_
_atom_site_label
_atom_site_type_symbol
_atom_site_fract_x
_atom_site_fract_y
_atom_site_fract_z
Pu1 Pu 0.088 0.229 0.000
Tc1 Tc 0.000 0.500 0.250
Ge1 Ge 0.000 0.000 0.250
Ge2 Ge 0.145 0.355 0.500
```

Computed properties:
Energy (eV per atom): -10.597
Energy of formation (eV/atom): -0.404
DOS(E_F) (states/eV/f.u.): 25.16